Entry w
This record from the Alexandria database describes crystalline La3PdC at its relaxed geometry. The functional is PBE.

Unit cell a=3.844 b=7.541 c=9.469 alpha=92.74 beta=89.98 gamma=75.23
Sites, in units of the cell vectors:
La: 0.089 0.179 0.610
La: 0.397 0.563 0.324
La: 0.994 0.367 0.004
La: 0.686 0.983 0.290
La: 0.802 0.751 0.625
La: 0.281 0.794 0.989
C: 0.240 0.877 0.460
C: 0.843 0.669 0.154
Pd: 0.639 0.078 0.858
Pd: 0.444 0.467 0.756

Calculated values
The space-group type is C2/m, No. 12. For the total moment, the calculation gives 0.00 μB per atom. As for the density of states at the Fermi level: 1.033 states/eV per atom.

Entry x
This record from the Alexandria database describes crystalline La3PdC at its relaxed geometry. The functional is PBE.

Unit cell a=5.135 b=5.135 c=5.135 alpha=90.00 beta=90.00 gamma=90.00
Sites, in units of the cell vectors:
La: 0.500 0.000 0.000
La: 0.000 0.000 0.500
La: 0.000 0.500 0.000
C: 0.000 0.000 0.000
Pd: 0.500 0.500 0.500

Calculated values
The space-group type is Pm-3m, No. 221. For the total moment, the calculation gives 0.00 μB per atom. As for the density of states at the Fermi level: 1.227 states/eV per atom.

Which is the most stable structure? entry w is the most stable.

Entry w
This record from the Alexandria database describes crystalline LaPmC at its relaxed geometry. The functional is PBE.

Unit cell a=6.765 b=3.688 c=3.688 alpha=120.00 beta=90.00 gamma=90.00
Sites, in units of the cell vectors:
La: 0.546 0.667 0.333
C: 0.328 0.333 0.667
Pm: 0.125 0.000 0.000

Calculated values
The space-group type is P3m1, No. 156. For the total moment, the calculation gives 0.00 μB per atom. As for the density of states at the Fermi level: 0.659 states/eV per atom.

Entry x
This record from the Alexandria database describes crystalline LaPmC at its relaxed geometry. The functional is PBE.

Unit cell a=3.686 b=3.686 c=13.115 alpha=90.00 beta=90.00 gamma=120.00
Sites, in units of the cell vectors:
Pm: 0.280 0.561 0.112
Pm: 0.280 0.561 0.888
La: 0.609 0.217 0.386
La: 0.609 0.217 0.614
C: 0.275 0.550 0.500
C: 0.614 0.227 0.000

Calculated values
The space-group type is Amm2, No. 38. For the total moment, the calculation gives 0.00 μB per atom. As for the density of states at the Fermi level: 0.730 states/eV per atom.

Which is the most stable structure? entry w is the most stable.

Entry w
This record from the Alexandria database describes crystalline LaPmC at its relaxed geometry. The functional is PBE.

Unit cell a=3.689 b=6.402 c=7.706 alpha=114.64 beta=103.85 gamma=90.00
Sites, in units of the cell vectors:
C: 0.250 0.254 0.500
C: 0.750 0.746 0.500
Pm: 0.647 0.313 0.295
Pm: 0.353 0.687 0.705
La: 0.858 0.191 0.716
La: 0.142 0.809 0.284

Calculated values
The space-group type is C2/m, No. 12. For the total moment, the calculation gives 0.00 μB per atom. As for the density of states at the Fermi level: 0.701 states/eV per atom.

Entry x
This record from the Alexandria database describes crystalline LaPmC at its relaxed geometry. The functional is PBE.

Unit cell a=3.702 b=6.440 c=6.355 alpha=90.00 beta=90.00 gamma=90.00
Sites, in units of the cell vectors:
Pm: 0.000 0.560 0.792
Pm: 0.500 0.440 0.292
C: 0.000 0.263 0.498
C: 0.500 0.737 0.998
La: 0.000 0.937 0.212
La: 0.500 0.063 0.712

Calculated values
The space-group type is Pmn2_1, No. 31. For the total moment, the calculation gives 0.00 μB per atom. As for the density of states at the Fermi level: 0.574 states/eV per atom.

Which is the most stable structure? entry w is the most stable.

Entry w
This record from the Alexandria database describes crystalline La2PmC at its relaxed geometry. The functional is PBE.

Unit cell a=3.672 b=3.672 c=10.459 alpha=79.89 beta=79.89 gamma=60.00
Sites, in units of the cell vectors:
La: 0.119 0.119 0.643
La: 0.881 0.881 0.357
Pm: 0.000 0.000 0.000
C: 0.500 0.500 0.500

Calculated values
The space-group type is R-3m, No. 166. For the total moment, the calculation gives 0.00 μB per atom. As for the density of states at the Fermi level: 1.061 states/eV per atom.

Entry x
This record from the Alexandria database describes crystalline La2PmC at its relaxed geometry. The functional is PBE.

Unit cell a=5.229 b=7.404 c=6.956 alpha=105.39 beta=112.08 gamma=90.00
Sites, in units of the cell vectors:
Pm: 0.500 0.750 0.000
Pm: 0.500 0.250 0.000
La: 0.855 0.928 0.711
La: 0.145 0.072 0.289
La: 0.145 0.572 0.289
La: 0.855 0.428 0.711
C: 0.000 0.750 0.000
C: 0.000 0.250 0.000

Calculated values
The space-group type is Immm, No. 71. For the total moment, the calculation gives 0.00 μB per atom. As for the density of states at the Fermi level: 1.172 states/eV per atom.

Which is the most stable structure? entry x is the most stable.